# LiBeCo2N

Crystalline LiBeCo2N at its relaxed geometry (GGA-PBE, Alexandria).

Cell and atoms, written as CIF:
```
data_LiBeCo2N
_cell_length_a 3.626
_cell_length_b 3.626
_cell_length_c 3.686
_cell_angle_alpha 90.00
_cell_angle_beta 90.00
_cell_angle_gamma 90.00
_space_group_name_H-M_alt 'P 4/m m m'
_space_group_IT_number 123
_space_group_name_Hall '-P 4 2'
loop_
_atom_site_label
_atom_site_type_symbol
_atom_site_fract_x
_atom_site_fract_y
_atom_site_fract_z
_atom_site_occupancy
Li1 Li 0.000 0.000 0.000 1
Be1 Be 0.500 0.500 0.000 1
Co1 Co 0.000 0.500 0.500 1
N1 N 0.000 0.000 0.500 1
```

Values from the calculation:
Uncorrected formation energy   -0.08 eV/atom
Energy   -5.7184 eV per atom
DOS at the Fermi energy   3.16 states/eV/f.u.
Size of the total moment   0.90 μB/f.u.



# Hg3SbBr2

Crystalline Hg3SbBr2 at its relaxed geometry (GGA-PBE, Alexandria).

Cell and atoms, written as CIF:
```
data_Hg3SbBr2
_cell_length_a 13.102
_cell_length_b 7.737
_cell_length_c 9.054
_cell_angle_alpha 90.00
_cell_angle_beta 90.00
_cell_angle_gamma 90.00
_space_group_name_H-M_alt 'C m c 21'
_space_group_IT_number 36
loop_
_space_group_symop_operation_xyz
'x,y,z'
'-x,-y,z+1/2'
'-x,y,z'
'x,-y,z+1/2'
'x+1/2,y+1/2,z'
'-x+1/2,-y+1/2,z+1/2'
'-x+1/2,y+1/2,z'
'x+1/2,-y+1/2,z+1/2'
loop_
_atom_site_label
_atom_site_type_symbol
_atom_site_fract_x
_atom_site_fract_y
_atom_site_fract_z
_atom_site_occupancy
Hg1 Hg 0.000 0.171 0.000 1
Hg2 Hg 0.142 0.448 0.645 1
Sb1 Sb 0.000 0.499 0.396 1
Br1 Br 0.146 0.025 0.651 1
```

Values from the calculation:
Uncorrected formation energy   -0.19 eV/atom
Energy   -1.5814 eV per atom
DOS at the Fermi energy   0.97 states/eV/f.u.
Size of the total moment   0.00 μB/f.u.



# CsPtI

Crystalline CsPtI at its relaxed geometry (GGA-PBE, Alexandria).

Cell and atoms, written as CIF:
```
data_CsPtI
_cell_length_a 4.107
_cell_length_b 12.388
_cell_length_c 7.983
_cell_angle_alpha 90.00
_cell_angle_beta 90.00
_cell_angle_gamma 90.00
_space_group_name_H-M_alt 'C m c m'
_space_group_IT_number 63
_space_group_name_Hall '-C 2c 2'
loop_
_atom_site_label
_atom_site_type_symbol
_atom_site_fract_x
_atom_site_fract_y
_atom_site_fract_z
_atom_site_occupancy
Cs1 Cs 0.000 0.235 0.250 1
Pt1 Pt 0.000 0.033 0.750 1
I1 I 0.000 0.500 0.000 1
```

Values from the calculation:
Uncorrected formation energy   -0.22 eV/atom
Energy   -3.0387 eV per atom
DOS at the Fermi energy   0.71 states/eV/f.u.
Size of the total moment   0.00 μB/f.u.



What did the first record say?
# LiBeCo2N

Crystalline LiBeCo2N at its relaxed geometry (GGA-PBE, Alexandria).

Cell and atoms, written as CIF:
```
data_LiBeCo2N
_cell_length_a 3.626
_cell_length_b 3.626
_cell_length_c 3.686
_cell_angle_alpha 90.00
_cell_angle_beta 90.00
_cell_angle_gamma 90.00
_space_group_name_H-M_alt 'P 4/m m m'
_space_group_IT_number 123
_space_group_name_Hall '-P 4 2'
loop_
_atom_site_label
_atom_site_type_symbol
_atom_site_fract_x
_atom_site_fract_y
_atom_site_fract_z
_atom_site_occupancy
Li1 Li 0.000 0.000 0.000 1
Be1 Be 0.500 0.500 0.000 1
Co1 Co 0.000 0.500 0.500 1
N1 N 0.000 0.000 0.500 1
```

Values from the calculation:
Uncorrected formation energy   -0.08 eV/atom
Energy   -5.7184 eV per atom
DOS at the Fermi energy   3.16 states/eV/f.u.
Size of the total moment   0.90 μB/f.u.